An optimized crystal structure of Pr4As3. Source: Alexandria via LeMat-Bulk, functional PBE-GGA.

Cell: 13.8347 13.8347 13.8347 Å, 17.85 17.85 17.85°
Closest atoms and distances in Å follow each position.
Fractional coordinates of all 7 atoms:
Pr (0.1250, 0.1250, 0.1250)  6 As 3.01-3.09
Pr (0.3744, 0.3744, 0.3744)  3 As 2.94
Pr (0.6256, 0.6256, 0.6256)  3 As 2.94
Pr (0.8750, 0.8750, 0.8750)  6 As 3.01-3.09
As (0.2535, 0.2535, 0.2535)  6 Pr 2.94-3.09
As (0.5000, 0.5000, 0.5000)  6 Pr 3.01
As (0.7465, 0.7465, 0.7465)  6 Pr 2.94-3.09

Calculated values
* relative energy among the computed polymorphs: 23 meV/atom
* energy of formation from the pure elements: -838 kJ/mol of formula units
* E_tot: -41.7 eV/cell
* space group: No. 166